Record 1
# As2WSe, relaxed, DFT GGA-PBE
# * uncorrected formation energy: 36.36 kJ/mol of atoms
# * size of the total moment: 0.000 μB/atom
data_As2WSe
_symmetry_space_group_name_H-M 'P 1'
_symmetry_Int_Tables_number 1
_symmetry_space_group_name_Hall 'P 1'
_cell_length_a 4.5555
_cell_length_b 4.5490
_cell_length_c 4.5504
_cell_angle_alpha 61.24
_cell_angle_beta 90.00
_cell_angle_gamma 90.00
loop_
_atom_site_label
_atom_site_type_symbol
_atom_site_fract_x
_atom_site_fract_y
_atom_site_fract_z
_atom_site_occupancy
As1 As 0.0000 0.8990 0.8991 1
As2 As 0.5000 0.3323 0.3323 1
Se1 Se 0.0000 0.5534 0.5534 1
W1 W 0.5000 0.7154 0.7153 1

***

Record 2
# TbCoSi3Ir, relaxed, DFT GGA-PBE
# * uncorrected formation energy: -49.66 kJ/mol of atoms
# * size of the total moment: 0.000 μB/atom
data_TbCoSi3Ir
_symmetry_space_group_name_H-M 'P 1'
_symmetry_Int_Tables_number 1
_symmetry_space_group_name_Hall 'P 1'
_cell_length_a 5.5628
_cell_length_b 6.1373
_cell_length_c 7.0254
_cell_angle_alpha 115.90
_cell_angle_beta 90.00
_cell_angle_gamma 90.00
loop_
_atom_site_label
_atom_site_type_symbol
_atom_site_fract_x
_atom_site_fract_y
_atom_site_fract_z
_atom_site_occupancy
Tb1 Tb 0.7500 0.1985 0.3971 1
Tb2 Tb 0.2500 0.8015 0.6029 1
Co1 Co 0.2500 0.0404 0.0808 1
Co2 Co 0.7500 0.9596 0.9192 1
Si1 Si 0.2500 0.2070 0.4141 1
Si2 Si 0.0000 0.2846 0.0000 1
Si3 Si 0.5000 0.7154 0.0000 1
Si4 Si 0.5000 0.2846 0.0000 1
Si5 Si 0.0000 0.7154 0.0000 1
Si6 Si 0.7500 0.7930 0.5859 1
Ir1 Ir 0.2500 0.3845 0.7690 1
Ir2 Ir 0.7500 0.6155 0.2310 1